# GGA+U MgFe2IrO6, optimized geometry
# magnetic moment	7.05	μB per formula unit
# energy	-6.422	eV/atom
data_MgFe2IrO6
_chemical_formula_sum 'Mg1 Fe2 Ir1 O6'
_space_group_name_H-M_alt 'P 1'
_space_group_IT_number 1
_cell_length_a 5.0952
_cell_length_b 5.0950
_cell_length_c 5.5047
_cell_angle_alpha 62.43
_cell_angle_beta 62.43
_cell_angle_gamma 59.99
loop_
_space_group_symop_operation_xyz
'x,y,z'
loop_
_atom_site_label
_atom_site_fract_x
_atom_site_fract_y
_atom_site_fract_z
_atom_site_occupancy
O1 0.1228 0.4051 0.7505 1
O2 0.9105 0.6039 0.2514 1
O3 0.4051 0.7215 0.7506 1
O4 0.2343 0.9105 0.2514 1
O5 0.7216 0.1228 0.7505 1
O6 0.6039 0.2343 0.2513 1
Mg1 0.8120 0.8120 0.5638 1
Fe1 0.0151 0.0152 0.9547 1
Fe2 0.5160 0.5160 0.4519 1
Ir1 0.3203 0.3203 0.0391 1